(1)
First-principles (meta-GGA SCAN) data for a PBEsol-optimized structure of CaNi2GeRu, as listed in the Alexandria database.

The structure in POSCAR format:
```
CaNi2GeRu
1.0
4.351 0.000 0.000
0.000 4.351 0.000
0.000 0.000 4.565
Ru Ca Ni Ge
1 1 2 1
direct
0.000 0.000 0.500
0.500 0.500 0.500
0.500 0.000 0.000
0.000 0.500 0.000
0.000 0.000 0.000
```

size of the total moment: 0.000 μB/atom
DOS at the Fermi energy: 2.54 states/eV/cell
ΔE_f: 0.19 eV per atom
space-group type: P4/mmm, No. 123


(2)
First-principles (meta-GGA SCAN) data for a PBEsol-optimized structure of Ba2SrCa, as listed in the Alexandria database.

The structure in POSCAR format:
```
Ba2SrCa
1.0
-4.591 0.961 -0.430
-0.906 -5.761 -3.212
-1.181 -3.048 5.800
Ca Sr Ba
1 1 2
direct
0.500 0.500 0.500
0.500 0.000 0.000
0.000 0.500 0.000
0.000 0.000 0.500
```

size of the total moment: 0.059 μB/atom
DOS at the Fermi energy: 5.30 states/eV/cell
ΔE_f: 0.04 eV per atom
space-group type: P4/mmm, No. 123


(3)
First-principles (meta-GGA SCAN) data for a PBEsol-optimized structure of CdCoSbTe2, as listed in the Alexandria database.

The structure in POSCAR format:
```
CdCoSbTe2
1.0
4.718 0.000 0.000
0.000 5.478 0.000
0.000 0.000 5.478
Sb Te Co Cd
1 2 1 1
direct
0.500 0.500 0.500
0.000 0.000 0.500
0.000 0.500 0.000
0.500 0.000 0.000
0.000 0.000 0.000
```

size of the total moment: 0.382 μB/atom
DOS at the Fermi energy: 3.71 states/eV/cell
formation energy without anion corrections: 0.90 eV/atom
space-group type: P4/mmm, No. 123


(4)
First-principles (meta-GGA SCAN) data for a PBEsol-optimized structure of SrInFe2, as listed in the Alexandria database.

The structure in POSCAR format:
```
SrInFe2
1.0
-0.865 1.335 -2.687
-0.874 -4.130 -1.771
-5.525 0.038 2.641
Sr Fe In
1 2 1
direct
0.000 0.500 0.500
0.735 0.000 0.858
0.265 0.000 0.142
0.500 0.500 0.000
```

size of the total moment: 1.395 μB/atom
DOS at the Fermi energy: 2.87 states/eV/cell
ΔE_f: 0.43 eV per atom
space-group type: P2/m, No. 10


(5)
First-principles (meta-GGA SCAN) data for a PBEsol-optimized structure of CdAs, as listed in the Alexandria database.

The structure in POSCAR format:
```
CdAs
1.0
5.954 0.000 0.000
0.000 7.812 0.000
0.000 0.000 8.010
Cd As
8 8
direct
0.546 0.370 0.638
0.046 0.370 0.862
0.046 0.130 0.362
0.954 0.870 0.638
0.454 0.870 0.862
0.954 0.630 0.138
0.454 0.630 0.362
0.546 0.130 0.138
0.634 0.566 0.903
0.366 0.434 0.097
0.866 0.066 0.903
0.134 0.566 0.597
0.634 0.934 0.403
0.866 0.434 0.403
0.366 0.066 0.597
0.134 0.934 0.097
```

size of the total moment: 0.000 μB/atom
ΔE_f: -0.12 eV per atom
space-group type: Pbca, No. 61


(6)
First-principles (meta-GGA SCAN) data for a PBEsol-optimized structure of TcO2, as listed in the Alexandria database.

The structure in POSCAR format:
```
TcO2
1.0
-1.151 -0.891 4.517
0.817 -5.308 -0.839
4.234 3.076 1.686
O Tc
8 4
direct
0.307 0.107 0.412
0.713 0.391 0.124
0.693 0.893 0.588
0.193 0.107 0.912
0.213 0.609 0.376
0.787 0.391 0.624
0.807 0.893 0.088
0.287 0.609 0.876
0.505 0.735 0.220
0.995 0.735 0.720
0.495 0.265 0.780
0.005 0.265 0.280
```

size of the total moment: 0.000 μB/atom
DOS at the Fermi energy: 6.76 states/eV/cell
formation energy without anion corrections: -1.64 eV/atom
space-group type: P2_1/c, No. 14


(7)
First-principles (meta-GGA SCAN) data for a PBEsol-optimized structure of LiCa2Au, as listed in the Alexandria database.

The structure in POSCAR format:
```
LiCa2Au
1.0
-0.942 3.602 -2.096
-2.141 -2.320 -3.024
-4.241 -1.311 4.008
Li Ca Au
1 2 1
direct
0.810 0.000 0.620
0.397 0.500 0.794
0.111 0.000 0.221
0.683 0.500 0.367
```

size of the total moment: 0.003 μB/atom
DOS at the Fermi energy: 2.56 states/eV/cell
ΔE_f: -0.55 eV per atom
space-group type: Amm2, No. 38


(8)
First-principles (meta-GGA SCAN) data for a PBEsol-optimized structure of Nb3SbP6O24, as listed in the Alexandria database.

The structure in POSCAR format:
```
Nb3SbP6O24
1.0
-5.320 -3.817 -5.876
0.507 -8.668 -1.415
-6.695 -5.336 2.942
Nb O P Sb
3 24 6 1
direct
0.858 0.858 0.425
0.359 0.359 0.922
0.640 0.640 0.080
0.738 0.011 0.585
0.011 0.336 0.739
0.287 0.132 0.080
0.396 0.780 0.215
0.579 0.221 0.768
0.059 0.965 0.283
0.432 0.579 0.768
0.694 0.059 0.283
0.965 0.694 0.283
0.886 0.538 0.920
0.609 0.396 0.215
0.780 0.609 0.215
0.655 0.886 0.920
0.260 0.973 0.407
0.915 0.011 0.739
0.011 0.666 0.585
0.336 0.915 0.739
0.973 0.359 0.407
0.666 0.738 0.585
0.221 0.432 0.768
0.359 0.260 0.407
0.132 0.502 0.080
0.502 0.287 0.080
0.538 0.655 0.920
0.489 0.730 0.750
0.031 0.489 0.750
0.250 0.966 0.249
0.966 0.535 0.249
0.535 0.250 0.249
0.730 0.031 0.750
0.139 0.139 0.584
```

size of the total moment: 0.000 μB/atom
DOS at the Fermi energy: 0.00 states/eV/cell
formation energy without anion corrections: -2.47 eV/atom
space-group type: R3, No. 146


(9)
First-principles (meta-GGA SCAN) data for a PBEsol-optimized structure of CdP2W, as listed in the Alexandria database.

The structure in POSCAR format:
```
CdP2W
1.0
3.125 0.000 0.000
0.000 3.410 0.000
-1.563 -1.705 6.393
P Cd W
2 1 1
direct
0.816 0.316 0.632
0.029 0.029 0.058
0.196 0.696 0.393
0.458 0.458 0.917
```

size of the total moment: 0.000 μB/atom
DOS at the Fermi energy: 1.68 states/eV/cell
ΔE_f: 0.12 eV per atom
space-group type: Imm2, No. 44


(10)
First-principles (meta-GGA SCAN) data for a PBEsol-optimized structure of ReSi2Se, as listed in the Alexandria database.

The structure in POSCAR format:
```
ReSi2Se
1.0
2.970 0.000 0.000
0.000 4.494 -0.011
0.000 -1.223 4.325
Si Se Re
2 1 1
direct
0.000 0.500 0.000
0.000 0.000 0.500
0.500 0.000 0.000
0.500 0.500 0.500
```

size of the total moment: 0.000 μB/atom
DOS at the Fermi energy: 2.20 states/eV/cell
formation energy without anion corrections: 0.60 eV/atom
space-group type: Cmmm, No. 65


(11)
First-principles (meta-GGA SCAN) data for a PBEsol-optimized structure of Na2V2O5, as listed in the Alexandria database.

The structure in POSCAR format:
```
Na2V2O5
1.0
-1.931 1.070 4.823
4.171 -2.659 2.260
2.618 6.797 -3.377
O Na V
10 4 4
direct
0.170 0.702 0.285
0.865 0.621 0.500
0.252 0.741 0.978
0.385 0.916 0.715
0.365 0.379 0.500
0.885 0.298 0.715
0.752 0.737 0.978
0.273 0.259 0.022
0.670 0.084 0.285
0.773 0.263 0.022
0.106 0.078 0.209
0.397 0.368 0.791
0.606 0.632 0.209
0.897 0.922 0.791
0.511 0.000 0.000
0.205 0.675 0.500
0.011 0.500 0.000
0.705 0.325 0.500
```

size of the total moment: 0.222 μB/atom
DOS at the Fermi energy: 5.50 states/eV/cell
formation energy without anion corrections: -2.44 eV/atom
space-group type: Ima2, No. 46


(12)
First-principles (meta-GGA SCAN) data for a PBEsol-optimized structure of NaBrCl3, as listed in the Alexandria database.

The structure in POSCAR format:
```
NaBrCl3
1.0
5.122 0.000 0.000
0.000 5.122 0.000
0.000 0.000 5.122
Cl Na Br
3 1 1
direct
0.500 0.000 0.000
0.000 0.000 0.500
0.000 0.500 0.000
0.000 0.000 0.000
0.500 0.500 0.500
```

size of the total moment: 0.600 μB/atom
DOS at the Fermi energy: 5.04 states/eV/cell
formation energy without anion corrections: -0.18 eV/atom
space-group type: Pm-3m, No. 221


(13)
First-principles (meta-GGA SCAN) data for a PBEsol-optimized structure of FeHg2Ru, as listed in the Alexandria database.

The structure in POSCAR format:
```
FeHg2Ru
1.0
-2.151 1.372 -1.370
-1.705 -1.451 -1.836
-6.833 -2.012 5.652
Ru Hg Fe
1 2 1
direct
0.500 0.500 0.500
0.748 0.748 0.755
0.252 0.252 0.245
0.000 0.000 0.000
```

size of the total moment: 0.962 μB/atom
DOS at the Fermi energy: 3.03 states/eV/cell
ΔE_f: 0.55 eV per atom
space-group type: R-3m, No. 166


(14)
First-principles (meta-GGA SCAN) data for a PBEsol-optimized structure of ScAl2Co, as listed in the Alexandria database.

The structure in POSCAR format:
```
ScAl2Co
1.0
2.905 0.000 0.000
0.000 2.905 0.000
0.000 0.000 7.042
Al Co Sc
2 1 1
direct
0.000 0.000 0.805
0.000 0.000 0.195
0.500 0.500 0.000
0.500 0.500 0.500
```

size of the total moment: 0.283 μB/atom
DOS at the Fermi energy: 2.36 states/eV/cell
ΔE_f: -0.51 eV per atom
space-group type: P4/mmm, No. 123


(15)
First-principles (meta-GGA SCAN) data for a PBEsol-optimized structure of TbCe3, as listed in the Alexandria database.

The structure in POSCAR format:
```
TbCe3
1.0
-2.596 -2.899 2.597
2.966 0.549 3.577
-2.727 4.836 -1.541
Ce Tb
3 1
direct
0.750 0.250 0.500
0.250 0.750 0.500
0.500 0.500 0.000
0.000 0.000 0.000
```

size of the total moment: 0.000 μB/atom
DOS at the Fermi energy: 7.89 states/eV/cell
ΔE_f: 0.11 eV per atom
space-group type: I4/mmm, No. 139


(16)
First-principles (meta-GGA SCAN) data for a PBEsol-optimized structure of TcIr2Ru, as listed in the Alexandria database.

The structure in POSCAR format:
```
TcIr2Ru
1.0
-1.791 1.275 -1.540
-2.484 -2.849 0.530
-1.954 2.513 4.353
Ir Ru Tc
2 1 1
direct
0.500 0.500 0.256
0.000 0.000 0.995
0.000 0.000 0.500
0.500 0.500 0.749
```

size of the total moment: 0.000 μB/atom
DOS at the Fermi energy: 3.26 states/eV/cell
ΔE_f: -0.11 eV per atom
space-group type: Pmm2, No. 25


(17)
First-principles (meta-GGA SCAN) data for a PBEsol-optimized structure of Sr2FeAs, as listed in the Alexandria database.

The structure in POSCAR format:
```
Sr2FeAs
1.0
-3.014 -2.359 -3.223
-2.755 -3.885 1.535
-4.965 0.464 0.419
Sr As Fe
2 1 1
direct
0.750 0.750 0.750
0.000 0.000 0.000
0.500 0.500 0.500
0.250 0.250 0.250
```

size of the total moment: 0.683 μB/atom
DOS at the Fermi energy: 2.11 states/eV/cell
ΔE_f: 0.28 eV per atom
space-group type: F-43m, No. 216


(18)
First-principles (meta-GGA SCAN) data for a PBEsol-optimized structure of Hf2Co4P3, as listed in the Alexandria database.

The structure in POSCAR format:
```
Hf2Co4P3
1.0
3.596 0.000 0.000
0.000 11.906 0.000
0.000 -5.953 10.311
P Hf Co
12 8 16
direct
0.000 0.000 0.825
0.000 0.825 0.000
0.000 0.655 0.655
0.000 0.175 0.175
0.500 0.826 0.517
0.000 0.000 0.345
0.500 0.691 0.174
0.500 0.309 0.483
0.500 0.517 0.826
0.500 0.174 0.691
0.500 0.483 0.309
0.000 0.345 0.000
0.000 0.000 0.556
0.000 0.444 0.444
0.500 0.824 0.824
0.000 0.667 0.333
0.500 0.000 0.176
0.000 0.333 0.667
0.000 0.556 0.000
0.500 0.176 0.000
0.500 0.355 0.874
0.500 0.279 0.279
0.000 0.194 0.372
0.000 0.628 0.821
0.500 0.000 0.721
0.500 0.721 0.000
0.000 0.806 0.179
0.500 0.126 0.481
0.500 0.481 0.126
0.000 0.000 0.000
0.000 0.179 0.806
0.000 0.372 0.194
0.000 0.821 0.628
0.500 0.519 0.645
0.500 0.645 0.519
0.500 0.874 0.355
```

size of the total moment: 0.055 μB/atom
DOS at the Fermi energy: 10.92 states/eV/cell
ΔE_f: -0.96 eV per atom
space-group type: P-62m, No. 189


(19)
First-principles (meta-GGA SCAN) data for a PBEsol-optimized structure of Li2BeCdRh, as listed in the Alexandria database.

The structure in POSCAR format:
```
Li2BeCdRh
1.0
-2.416 -3.612 0.867
3.173 -1.469 2.721
-2.208 2.407 3.875
Cd Be Li Rh
1 1 2 1
direct
0.000 0.000 0.500
0.500 0.500 0.500
0.000 0.500 0.000
0.500 0.000 0.000
0.000 0.000 0.000
```

size of the total moment: 0.000 μB/atom
DOS at the Fermi energy: 1.54 states/eV/cell
ΔE_f: 0.71 eV per atom
space-group type: P4/mmm, No. 123


(20)
First-principles (meta-GGA SCAN) data for a PBEsol-optimized structure of Y4Hg5, as listed in the Alexandria database.

The structure in POSCAR format:
```
Y4Hg5
1.0
6.361 0.000 0.000
0.000 8.941 0.000
0.000 -4.470 7.743
Hg Y
10 8
direct
0.000 0.667 0.333
0.750 0.000 0.701
0.500 0.667 0.333
0.250 0.000 0.299
0.250 0.299 0.000
0.750 0.299 0.299
0.250 0.701 0.701
0.000 0.333 0.667
0.750 0.701 0.000
0.500 0.333 0.667
0.750 0.631 0.631
0.250 0.631 0.000
0.250 0.000 0.631
0.750 0.000 0.369
0.500 0.000 0.000
0.000 0.000 0.000
0.750 0.369 0.000
0.250 0.369 0.369
```

size of the total moment: 0.000 μB/atom
DOS at the Fermi energy: 14.51 states/eV/cell
ΔE_f: -0.64 eV per atom
space-group type: P6_3/mcm, No. 193